Computed, not measured: a PBEsol-optimized structure of YSiTe2 at the meta-GGA SCAN level of DFT.

Summary:
formation energy from raw total energies	-51.2	kJ/mol of atoms
N(E_F)	0.598	states/eV per atom
space group	No. 99

a = 4.224 Å, b = 4.224 Å, c = 6.043 Å
α = 90.00°, β = 90.00°, γ = 90.00°
Atoms (fractional coordinates):
Te1 0.500 0.500 0.377
Te2 0.000 0.000 0.874
Y1 0.000 0.000 0.374
Si1 0.500 0.500 0.876